# 1
## NpIrN (PBE)

Data for a relaxed NpIrN crystal.

```
data_NpIrN
_chemical_formula_sum 'Np2 Ir2 N2'
_space_group_name_H-M_alt 'I 4 m m'
_space_group_IT_number 107
_space_group_name_Hall 'I 4 -2'
_cell_length_a 3.235
_cell_length_b 3.235
_cell_length_c 9.308
_cell_angle_alpha 90.00
_cell_angle_beta 90.00
_cell_angle_gamma 90.00
loop_
_atom_site_label
_atom_site_type_symbol
_atom_site_fract_x
_atom_site_fract_y
_atom_site_fract_z
Np1 Np 0.000 0.000 0.000
Ir1 Ir 0.000 0.000 0.709
N1 N 0.000 0.000 0.477
```

**VASP energy**: -60.697 eV for the cell shown
**Formation energy without anion corrections**: -74 meV per atom
**Crystal system**: tetragonal

# 2
## HgHSeBr2 (PBE)

Data for a relaxed HgHSeBr2 crystal.

```
data_HgHSeBr2
_chemical_formula_sum 'Hg1 H1 Se1 Br2'
_space_group_name_H-M_alt 'P 4/m m m'
_space_group_IT_number 123
_space_group_name_Hall '-P 4 2'
_cell_length_a 5.601
_cell_length_b 5.601
_cell_length_c 5.383
_cell_angle_alpha 90.00
_cell_angle_beta 90.00
_cell_angle_gamma 90.00
loop_
_atom_site_label
_atom_site_type_symbol
_atom_site_fract_x
_atom_site_fract_y
_atom_site_fract_z
Hg1 Hg 0.000 0.000 0.000
H1 H 0.500 0.500 0.500
Se1 Se 0.000 0.000 0.500
Br1 Br 0.000 0.500 0.000
```

**VASP energy**: -7.152 eV for the cell shown
**Crystal system**: tetragonal

# 3
## CsLiYCl6 (PBE)

Data for a relaxed CsLiYCl6 crystal.

```
data_CsLiYCl6
_chemical_formula_sum 'Cs1 Li1 Y1 Cl6'
_space_group_name_H-M_alt 'P 1'
_space_group_IT_number 1
_cell_length_a 6.125
_cell_length_b 7.103
_cell_length_c 7.733
_cell_angle_alpha 87.55
_cell_angle_beta 82.20
_cell_angle_gamma 65.31
loop_
_space_group_symop_operation_xyz
'x,y,z'
loop_
_atom_site_label
_atom_site_type_symbol
_atom_site_fract_x
_atom_site_fract_y
_atom_site_fract_z
Cs1 Cs 0.000 0.000 0.000
Li1 Li 0.630 0.744 0.493
Y1 Y 0.350 0.326 0.507
Cl1 Cl 0.039 0.605 0.313
Cl2 Cl 0.383 0.024 0.307
Cl3 Cl 0.431 0.568 0.728
Cl4 Cl 0.599 0.015 0.697
Cl5 Cl 0.640 0.438 0.287
Cl6 Cl 0.968 0.456 0.753
```

**VASP energy**: -36.311 eV for the cell shown
**Formation energy without anion corrections**: -1778 meV per atom
**Crystal system**: triclinic

# 4
## CdSiSCl2 (PBE)

Data for a relaxed CdSiSCl2 crystal.

```
data_CdSiSCl2
_chemical_formula_sum 'Cd1 Si1 S1 Cl2'
_space_group_name_H-M_alt 'P 4/m m m'
_space_group_IT_number 123
_space_group_name_Hall '-P 4 2'
_cell_length_a 4.997
_cell_length_b 4.997
_cell_length_c 5.257
_cell_angle_alpha 90.00
_cell_angle_beta 90.00
_cell_angle_gamma 90.00
loop_
_atom_site_label
_atom_site_type_symbol
_atom_site_fract_x
_atom_site_fract_y
_atom_site_fract_z
Cd1 Cd 0.000 0.000 0.000
Si1 Si 0.500 0.500 0.500
S1 S 0.000 0.000 0.500
Cl1 Cl 0.000 0.500 0.000
```

**VASP energy**: -13.179 eV for the cell shown
**Formation energy without anion corrections**: 196 meV per atom
**Crystal system**: tetragonal

# 5
## Ac2Cu2Au (PBE)

Data for a relaxed Ac2Cu2Au crystal.

```
data_Ac2Cu2Au
_chemical_formula_sum 'Ac8 Cu8 Au4'
_space_group_name_H-M_alt 'C 1 2/m 1'
_space_group_IT_number 12
_cell_length_a 11.283
_cell_length_b 4.488
_cell_length_c 11.835
_cell_angle_alpha 90.00
_cell_angle_beta 117.77
_cell_angle_gamma 90.00
loop_
_space_group_symop_operation_xyz
'x,y,z'
'-x,-y,-z'
'-x,y,-z'
'x,-y,z'
'x+1/2,y+1/2,z'
'-x+1/2,-y+1/2,-z'
'-x+1/2,y+1/2,-z'
'x+1/2,-y+1/2,z'
loop_
_atom_site_label
_atom_site_type_symbol
_atom_site_fract_x
_atom_site_fract_y
_atom_site_fract_z
Ac1 Ac 0.089 0.000 0.391
Ac2 Ac 0.193 0.500 0.140
Cu1 Cu 0.043 0.000 0.922
Cu2 Cu 0.117 0.500 0.605
Au1 Au 0.081 0.500 0.821
```

**VASP energy**: -86.623 eV for the cell shown
**Calculated formation energy**: -0.3938 eV/atom
**Crystal system**: monoclinic

# 6
## CsPuTiSe4 (PBE)

Data for a relaxed CsPuTiSe4 crystal.

```
data_CsPuTiSe4
_chemical_formula_sum 'Cs2 Pu2 Ti2 Se8'
_space_group_name_H-M_alt 'P 1 21/m 1'
_space_group_IT_number 11
_cell_length_a 6.933
_cell_length_b 7.037
_cell_length_c 9.958
_cell_angle_alpha 90.00
_cell_angle_beta 108.82
_cell_angle_gamma 90.00
loop_
_space_group_symop_operation_xyz
'x,y,z'
'-x,-y,-z'
'-x,y+1/2,-z'
'x,-y+1/2,z'
loop_
_atom_site_label
_atom_site_type_symbol
_atom_site_fract_x
_atom_site_fract_y
_atom_site_fract_z
Cs1 Cs 0.237 0.250 0.442
Pu1 Pu 0.282 0.250 0.954
Ti1 Ti 0.274 0.750 0.161
Se1 Se 0.057 0.750 0.925
Se2 Se 0.068 0.750 0.313
Se3 Se 0.486 0.509 0.803
```

**VASP energy**: -92.039 eV for the cell shown
**Formation energy without anion corrections**: -1286 meV per atom
**Crystal system**: monoclinic

# 7
## NbV2Cr (PBE)

Data for a relaxed NbV2Cr crystal.

```
data_NbV2Cr
_chemical_formula_sum 'Nb4 V8 Cr4'
_space_group_name_H-M_alt 'P n m a'
_space_group_IT_number 62
_cell_length_a 5.086
_cell_length_b 4.556
_cell_length_c 9.986
_cell_angle_alpha 90.00
_cell_angle_beta 90.00
_cell_angle_gamma 90.00
loop_
_space_group_symop_operation_xyz
'x,y,z'
'-x,-y,-z'
'-x+1/2,-y,z+1/2'
'x+1/2,y,-z+1/2'
'x+1/2,-y+1/2,-z+1/2'
'-x+1/2,y+1/2,z+1/2'
'-x,y+1/2,-z'
'x,-y+1/2,z'
loop_
_atom_site_label
_atom_site_type_symbol
_atom_site_fract_x
_atom_site_fract_y
_atom_site_fract_z
Nb1 Nb 0.191 0.250 0.172
V1 V 0.007 0.250 0.689
V2 V 0.155 0.250 0.463
Cr1 Cr 0.084 0.250 0.918
```

**VASP energy**: -149.607 eV for the cell shown
**Calculated formation energy**: 0.1321 eV/atom
**Crystal system**: orthorhombic

# 8
## AcBeNi3 (PBE)

Data for a relaxed AcBeNi3 crystal.

```
data_AcBeNi3
_chemical_formula_sum 'Ac1 Be1 Ni3'
_space_group_name_H-M_alt 'P m -3 m'
_space_group_IT_number 221
_space_group_name_Hall '-P 4 2 3'
_cell_length_a 4.285
_cell_length_b 4.285
_cell_length_c 4.285
_cell_angle_alpha 90.00
_cell_angle_beta 90.00
_cell_angle_gamma 90.00
loop_
_atom_site_label
_atom_site_type_symbol
_atom_site_fract_x
_atom_site_fract_y
_atom_site_fract_z
Ac1 Ac 0.000 0.000 0.000
Be1 Be 0.500 0.500 0.500
Ni1 Ni 0.000 0.500 0.500
```

**VASP energy**: -25.675 eV for the cell shown
**Calculated formation energy**: -0.0993 eV/atom
**Crystal system**: cubic